DFT (PBE) results for Er2Al2GaPd5 after structural relaxation.

- Total DFT energy (no corrections): -5.33 eV/atom
- Volume: 352.42 Å³ per cell
- Density of states at the Fermi level: 13.507 states/eV per cell

a b c (Å): 3.3637 10.2358 10.2358
angles (deg): 90.00 90.00 90.00
With the nearest neighbours (Å) after each atom.
Positions (direct):
Er1 0.0000 0.6749 0.1749  3 Al 2.87-3.13, 6 Pd 3.04-3.11
Er2 0.0000 0.3251 0.8251  3 Al 2.87-3.13, 6 Pd 3.04-3.11
Er3 0.0000 0.1749 0.3251  3 Al 2.87-3.13, 6 Pd 3.04-3.11
Er4 0.0000 0.8251 0.6749  3 Al 2.87-3.13, 6 Pd 3.04-3.11
Al1 0.0000 0.1265 0.6265  6 Pd 2.49-2.56
Al2 0.0000 0.8735 0.3735  6 Pd 2.49-2.56
Al3 0.0000 0.6265 0.8735  6 Pd 2.49-2.56
Al4 0.0000 0.3735 0.1265  6 Pd 2.49-2.56
Ga1 0.0000 0.0000 0.0000  8 Pd 2.71
Ga2 0.0000 0.5000 0.5000  8 Pd 2.71
Pd1 0.5000 0.2017 0.0494  2 Al 2.56, 2 Ga 2.71
Pd2 0.5000 0.7983 0.9506  2 Al 2.56, 2 Ga 2.71
Pd3 0.5000 0.0494 0.7983  2 Al 2.56, 2 Ga 2.71
Pd4 0.5000 0.7017 0.4506  2 Al 2.56, 2 Ga 2.71
Pd5 0.5000 0.9506 0.2017  2 Al 2.56, 2 Ga 2.71
Pd6 0.5000 0.2983 0.5494  2 Al 2.56, 2 Ga 2.71
Pd7 0.5000 0.5494 0.7017  2 Al 2.56, 2 Ga 2.71
Pd8 0.5000 0.4506 0.2983  2 Al 2.56, 2 Ga 2.71
Pd9 0.5000 0.5000 0.0000  4 Al 2.49
Pd10 0.5000 0.0000 0.5000  4 Al 2.49

=====

DFT (PBE) results for ErAlGaPd3 after structural relaxation.

- Total DFT energy (no corrections): -5.13 eV/atom
- Volume: 224.29 Å³ per cell
- Density of states at the Fermi level: 4.676 states/eV per cell

a b c (Å): 5.5888 6.5930 6.9224
angles (deg): 118.44 90.00 90.00
With the nearest neighbours (Å) after each atom.
Positions (direct):
Er1 0.7500 0.3032 0.6063  2 Ga 2.88, 1 Al 3.02, 4 Pd 3.09
Er2 0.2500 0.6968 0.3937  2 Ga 2.88, 1 Al 3.02, 4 Pd 3.09
Al1 0.2500 0.9446 0.8892  5 Pd 2.48-2.60
Al2 0.7500 0.0554 0.1108  5 Pd 2.48-2.60
Ga1 0.2500 0.3614 0.7229  5 Pd 2.48-2.58
Ga2 0.7500 0.6386 0.2771  5 Pd 2.48-2.58
Pd1 0.2500 0.1580 0.3160  1 Ga 2.48, 1 Al 2.60
Pd2 0.0000 0.2925 0.0000  2 Al 2.48, 2 Ga 2.58, 1 Pd 2.74
Pd3 0.5000 0.7075 0.0000  2 Al 2.48, 2 Ga 2.58, 1 Pd 2.74
Pd4 0.5000 0.2925 0.0000  2 Al 2.48, 2 Ga 2.58, 1 Pd 2.74
Pd5 0.0000 0.7075 0.0000  2 Al 2.48, 2 Ga 2.58, 1 Pd 2.74
Pd6 0.7500 0.8420 0.6840  1 Ga 2.48, 1 Al 2.60

=====

DFT (PBE) results for ErAlGaPd after structural relaxation.

- Total DFT energy (no corrections): -4.77 eV/atom
- Volume: 72.91 Å³ per cell
- Density of states at the Fermi level: 2.375 states/eV per cell

a b c (Å): 4.6893 4.6893 4.6893
angles (deg): 60.00 60.00 60.00
With the nearest neighbours (Å) after each atom.
Positions (direct):
Al1 0.5000 0.5000 0.5000  4 Ga 2.87, 4 Pd 2.87
Ga1 0.2500 0.2500 0.2500  4 Al 2.87, 4 Er 2.87
Pd1 0.7500 0.7500 0.7500  4 Er 2.87, 4 Al 2.87
Er1 0.0000 0.0000 0.0000  4 Pd 2.87, 4 Ga 2.87